Crystalline Mg2AlRh at its relaxed geometry, computed with PBEsol.

Its density of states at the Fermi level is 1.71 states/eV per cell. The value obtained for the formation energy from the elements is -323.5 meV/atom. For the total magnetization, the calculation gives 0.00 μB/f.u.

It has space group P4/mmm (No. 123), with a = 3.916 Å, b = 3.916 Å, c = 4.174 Å, α = 90.00°, β = 90.00° and γ = 90.00°. The inequivalent atoms are Mg at (0.000, 0.500, 0.000), Al at (0.000, 0.000, 0.500) and Rh at (0.500, 0.500, 0.500).



Crystalline ZnCo2W at its relaxed geometry, computed with PBEsol.

Its density of states at the Fermi level is 2.65 states/eV per cell. The value obtained for the formation energy from the elements is -10.7 meV/atom. For the total magnetization, the calculation gives 0.00 μB/f.u.

It has space group Pmmm (No. 47), with a = 2.672 Å, b = 3.354 Å, c = 5.390 Å, α = 90.00°, β = 90.00° and γ = 90.00°. The inequivalent atoms are Zn at (0.000, 0.000, 0.000), Co at (0.500, 0.500, 0.249) and W at (0.000, 0.000, 0.500).



Crystalline MgMo2Br at its relaxed geometry, computed with PBEsol.

Its density of states at the Fermi level is 3.63 states/eV per cell. As for the polymorph energy (0 for the lowest one): 394.7 meV/atom. The energy relative to the elements, uncorrected is 2.7 eV per formula unit. For the total magnetization, the calculation gives 0.00 μB/f.u.

It has space group Pmmm (No. 47), with a = 3.116 Å, b = 4.407 Å, c = 4.968 Å, α = 90.00°, β = 90.00° and γ = 90.00°. The inequivalent atoms are Mg at (0.000, 0.000, 0.000), Mo at (0.000, 0.500, 0.500), Mo at (0.500, 0.000, 0.500) and Br at (0.500, 0.500, 0.000).



Crystalline NaSi2Ag2 at its relaxed geometry, computed with PBEsol.

Its density of states at the Fermi level is 4.08 states/eV per cell. As for the polymorph energy (0 for the lowest one): 0.0 meV/atom. The energy relative to the elements, uncorrected is 0.1 eV per formula unit. For the total magnetization, the calculation gives 0.00 μB/f.u.

It has space group I4/mmm (No. 139), with a = 4.312 Å, b = 4.312 Å, c = 10.018 Å, α = 90.00°, β = 90.00° and γ = 90.00°. The inequivalent atoms are Na at (0.000, 0.000, 0.000), Si at (0.000, 0.000, 0.386) and Ag at (0.000, 0.500, 0.250).



Crystalline Fe2OsRh at its relaxed geometry, computed with PBEsol.

Its density of states at the Fermi level is 6.23 states/eV per cell. As for the polymorph energy (0 for the lowest one): 128.2 meV/atom. The value obtained for the formation energy from the elements is 221.1 meV/atom. For the total magnetization, the calculation gives 5.88 μB/f.u.

It has space group P4/mmm (No. 123), with a = 4.160 Å, b = 4.160 Å, c = 2.909 Å, α = 90.00°, β = 90.00° and γ = 90.00°. The inequivalent atoms are Fe at (0.000, 0.500, 0.000), Os at (0.000, 0.000, 0.500) and Rh at (0.500, 0.500, 0.500).



Crystalline LaNb2W at its relaxed geometry, computed with PBEsol.

Its density of states at the Fermi level is 16.96 states/eV per cell. The value obtained for the formation energy from the elements is 436.3 meV/atom. For the total magnetization, the calculation gives 0.00 μB/f.u.

It has space group Fm-3m (No. 225), with a = 6.734 Å, b = 6.734 Å, c = 6.734 Å, α = 90.00°, β = 90.00° and γ = 90.00°. The inequivalent atoms are La at (0.000, 0.000, 0.000), Nb at (0.250, 0.250, 0.250) and W at (0.000, 0.000, 0.500).



Crystalline CsTiCuOF5 at its relaxed geometry, computed with PBEsol.

Its density of states at the Fermi level is 17.14 states/eV per cell. The energy relative to the elements, uncorrected is -23.6 eV per formula unit. For the total magnetization, the calculation gives 1.00 μB/f.u.

It has space group Imma (No. 74), with a = 7.195 Å, b = 7.244 Å, c = 10.437 Å, α = 90.00°, β = 90.00° and γ = 90.00°. The inequivalent atoms are Cs at (0.000, 0.250, 0.137), Ti at (0.000, 0.000, 0.500), Cu at (0.250, 0.250, 0.750), O at (0.000, 0.250, 0.460), F at (0.000, 0.250, 0.817) and F at (0.192, 0.038, 0.627).



Crystalline MnNiSbTe2 at its relaxed geometry, computed with PBEsol.

Its density of states at the Fermi level is 3.52 states/eV per cell. As for the polymorph energy (0 for the lowest one): 0.0 meV/atom. The energy relative to the elements, uncorrected is 2.9 eV per formula unit. For the total magnetization, the calculation gives 4.55 μB/f.u.

It has space group P4/mmm (No. 123), with a = 5.117 Å, b = 5.117 Å, c = 4.703 Å, α = 90.00°, β = 90.00° and γ = 90.00°. The inequivalent atoms are Mn at (0.000, 0.000, 0.000), Ni at (0.500, 0.500, 0.500), Sb at (0.500, 0.500, 0.000) and Te at (0.000, 0.500, 0.500).



Crystalline Sm4GdS5 at its relaxed geometry, computed with PBEsol.

Its density of states at the Fermi level is 9.88 states/eV per cell. The energy relative to the elements, uncorrected is -21.4 eV per formula unit. For the total magnetization, the calculation gives 6.76 μB/f.u.

It has space group Immm (No. 71), with a = 3.936 Å, b = 5.580 Å, c = 19.722 Å, α = 90.00°, β = 90.00° and γ = 90.00°. The inequivalent atoms are Sm at (0.000, 0.000, 0.100), Sm at (0.000, 0.000, 0.301), Gd at (0.000, 0.000, 0.500), S at (0.000, 0.500, 0.098), S at (0.000, 0.500, 0.299) and S at (0.000, 0.500, 0.500).



Crystalline In2Hg at its relaxed geometry, computed with PBEsol.

Its density of states at the Fermi level is 5.38 states/eV per cell. As for the polymorph energy (0 for the lowest one): 14.2 meV/atom. The value obtained for the formation energy from the elements is -1.5 meV/atom. For the total magnetization, the calculation gives 0.00 μB/f.u.

It has space group Cm (No. 8), with a = 11.714 Å, b = 3.344 Å, c = 7.940 Å, α = 90.00°, β = 109.00° and γ = 90.00°. The inequivalent atoms are In at (0.000, 0.000, 0.000), In at (0.034, 0.000, 0.568), In at (0.207, 0.500, 0.896), In at (0.356, 0.000, 0.243), Hg at (0.156, 0.500, 0.334) and Hg at (0.334, 0.000, 0.662).



Crystalline CoHO2 at its relaxed geometry, computed with PBEsol.

As for the total energy: -51.81 eV/cell. For the total magnetization, the calculation gives 0.00 μB/f.u.

It has space group P6_3/mmc (No. 194), with a = 2.8461 Å, b = 2.8461 Å, c = 8.5800 Å, α = 90.00°, β = 90.00° and γ = 120.00°. The inequivalent atoms are Co at (0.0000, 0.0000, 0.0000), H at (0.3333, 0.6667, 0.2500) and O at (0.3333, 0.6667, 0.1096).



Crystalline TaRh3Au at its relaxed geometry, computed with PBEsol.

Its density of states at the Fermi level is 5.99 states/eV per cell. The value obtained for the formation energy from the elements is 1918.6 meV/atom. For the total magnetization, the calculation gives 0.00 μB/f.u.

It has space group Pm-3m (No. 221), with a = 4.659 Å, b = 4.659 Å, c = 4.659 Å, α = 90.00°, β = 90.00° and γ = 90.00°. The inequivalent atoms are Ta at (0.000, 0.000, 0.000), Rh at (0.000, 0.500, 0.500) and Au at (0.500, 0.500, 0.500).